No. 1
Below is an optimized crystal structure of Sr2CrWO6, with properties calculated at the GGA-PBEsol level.

POSCAR file:
```
Sr2CrWO6
1.0
5.5054 -0.0313 -0.0447
-2.7253 4.7836 0.0447
-2.7253 -1.5950 4.5101
W Cr O Sr
1 1 6 2
Cartesian
0.0000 0.0000 0.0000
-2.7253 1.5943 2.2774
-1.3362 2.3752 3.3930
-1.3637 0.7977 1.1396
1.3910 0.7820 1.1171
-2.7253 3.1878 1.1619
-4.0869 2.3909 3.4153
-2.7253 0.0008 3.3930
0.0274 -0.0160 3.3714
0.0274 3.1733 1.1387
```

V: 11.801 Å³/atom

***

No. 2
Below is an optimized crystal structure of TaCrO4, with properties calculated at the GGA-PBEsol level.

POSCAR file:
```
TaCrO4
1.0
4.3889 0.0000 0.0000
0.0000 4.9561 0.0000
0.0000 0.0000 11.6845
O Ta Cr
16 4 4
Cartesian
3.2461 2.8648 3.6032
3.2720 0.4238 5.1676
1.0775 4.5324 0.6747
1.1169 4.5324 6.5169
1.1169 2.0543 5.1676
3.2720 2.9018 6.5169
3.3113 2.9018 0.6747
1.1428 4.5694 3.6032
1.0775 2.0543 11.0099
1.1428 2.0913 8.0813
1.0516 2.0913 2.2390
3.3372 0.3867 2.2390
3.3372 2.8648 9.4455
3.2461 0.3867 8.0813
3.3113 0.4238 11.0099
1.0516 4.5694 9.4455
0.0000 3.7171 10.7955
0.0000 1.2390 0.8890
2.1944 3.7171 4.9533
2.1944 1.2390 6.7313
0.0000 3.7171 7.9527
0.0000 1.2390 3.7319
2.1944 1.2390 9.5741
2.1944 3.7171 2.1104
```

V: 10.590 Å³/atom

***

No. 3
Below is an optimized crystal structure of TaCrO4, with properties calculated at the GGA-PBEsol level.

POSCAR file:
```
TaCrO4
1.0
-1.1113 2.0335 5.0149
4.1339 -3.6622 -0.1340
1.5205 4.2634 -3.1671
Cr O Ta
2 8 2
Cartesian
1.7145 2.3348 3.3620
2.2656 -1.2208 3.6583
3.6764 1.1544 -0.0405
3.5117 -1.3796 -0.7841
2.6232 -0.7004 1.8058
4.5279 0.4742 -2.6189
1.1489 0.1149 -0.6462
0.8869 1.5068 1.7936
1.9332 3.3279 -0.0707
1.0469 3.9686 2.5159
0.7215 -0.3888 1.1650
4.3044 -0.4954 0.7346
```

V: 10.750 Å³/atom

***

No. 4
Below is an optimized crystal structure of TaCrO4, with properties calculated at the GGA-PBEsol level.

POSCAR file:
```
TaCrO4
1.0
-0.8671 -0.4567 2.8770
4.0137 -2.0649 0.8820
1.7568 4.0839 1.1777
O Ta Cr
4 1 1
Cartesian
4.6497 1.6269 1.6596
2.8979 -0.4344 2.4099
1.1208 0.3922 0.4001
2.0055 1.9968 2.5268
2.8853 1.0095 1.0298
-0.4336 -0.2283 1.4385
```

V: 10.713 Å³/atom

***

No. 5
Below is an optimized crystal structure of TaTiCrO6, with properties calculated at the GGA-PBEsol level.

POSCAR file:
```
TaTiCrO6
1.0
4.6268 0.0000 0.0000
0.0000 4.6268 0.0000
0.0000 0.0000 8.9152
O Ti Cr Ta
12 2 2 2
Cartesian
3.7119 0.9150 5.9374
0.9150 3.7119 5.9374
3.2284 3.2284 1.4798
1.3984 1.3984 1.4798
3.7263 0.9005 2.9788
1.4129 1.4129 7.4364
0.9191 3.7077 0.0071
3.2139 3.2139 7.4364
3.2325 3.2325 4.4647
0.9005 3.7263 2.9788
3.7077 0.9191 0.0071
1.3943 1.3943 4.4647
0.0000 0.0000 4.4348
2.3134 2.3134 8.8924
0.0000 0.0000 1.4855
2.3134 2.3134 5.9431
0.0000 0.0000 7.4361
2.3134 2.3134 2.9785
```

V: 10.603 Å³/atom

***

No. 6
Below is an optimized crystal structure of Ta2Zn2CrO8, with properties calculated at the GGA-PBEsol level.

POSCAR file:
```
Ta2Zn2CrO8
1.0
5.2166 0.0503 0.0515
-0.0551 5.8326 -0.1462
-0.0860 -2.6844 9.5483
O Zn Ta Cr
16 4 4 2
Cartesian
3.0091 2.2540 1.0404
4.6884 -0.4682 8.4756
1.8085 3.8803 3.5832
2.1133 -1.9792 8.2991
0.6415 1.0034 5.8020
2.8581 2.5049 6.0990
0.3871 3.6667 0.9780
4.4340 2.1952 3.6516
4.6796 2.4475 8.2139
3.2670 -0.6817 5.8703
2.0664 0.9446 8.4132
2.9622 5.1777 1.1545
0.2396 3.6566 6.0440
4.8359 -0.4580 3.4096
2.2174 0.6937 3.3546
0.3960 0.7510 1.2396
1.1474 2.1263 4.1139
3.7383 3.9597 4.0906
1.3372 -0.7611 5.3630
3.9281 1.0723 5.3397
1.2429 2.2120 7.2885
3.8894 -1.8042 7.4144
3.8327 0.9866 2.1651
1.1862 5.0028 2.0392
3.7917 1.0541 9.4937
1.2839 2.1444 -0.0401
```

V: 11.097 Å³/atom

***

No. 7
Below is an optimized crystal structure of CrTcO2, with properties calculated at the GGA-PBEsol level.

POSCAR file:
```
CrTcO2
1.0
-2.6248 -0.7038 0.3325
-0.7510 -1.5029 2.1617
-2.1463 4.6851 4.2454
Cr Tc O
1 1 2
Cartesian
0.0000 0.0000 0.0000
-2.7611 1.2392 3.3698
-3.6754 -0.6166 3.4956
-1.8468 3.0950 3.2439
```

V: 10.527 Å³/atom

***

No. 8
Below is an optimized crystal structure of TiCrO4, with properties calculated at the GGA-PBEsol level.

POSCAR file:
```
TiCrO4
1.0
3.6903 0.0000 0.0000
0.0000 3.6903 0.0000
-1.8452 -1.8452 4.8051
Cr Ti O
1 1 4
Cartesian
0.0000 0.0000 0.0000
0.0000 1.8452 2.4025
1.8452 1.8452 2.8791
0.0000 1.8452 0.3748
0.0000 1.8452 4.4303
0.0000 0.0000 1.9260
```

V: 10.906 Å³/atom

***

No. 9
Below is an optimized crystal structure of Ti2Cr3O12, with properties calculated at the GGA-PBEsol level.

POSCAR file:
```
Ti2Cr3O12
1.0
8.9883 0.0000 0.0000
0.0000 9.0681 0.0000
0.0000 0.0000 12.5848
O Cr Ti
48 12 8
Cartesian
2.8843 8.4899 5.9469
5.1988 7.6431 11.5326
5.1650 5.3172 8.0780
3.8233 3.7509 4.5068
7.7609 5.7584 7.1517
2.8484 8.9957 3.2868
5.7989 1.9061 4.2325
1.2275 3.3097 5.4331
3.1894 7.1620 8.3523
1.6099 0.5782 12.2393
5.7216 1.2244 11.7255
8.2837 3.1091 7.3447
6.1040 3.9558 5.9469
1.6099 3.9558 0.3456
0.6709 8.2849 1.7856
1.2275 1.2244 7.1517
7.3785 8.4899 0.3456
7.7609 7.8437 5.4331
7.6836 7.1620 10.5249
8.2837 1.4250 5.2401
1.3048 2.6279 10.5249
3.8233 0.7832 8.0780
0.6709 5.3172 10.7993
0.7046 5.9590 5.2401
5.1988 5.9590 1.0523
3.1894 6.4402 4.2325
6.1400 0.0724 9.2980
8.3175 3.7509 1.7856
1.3048 1.9061 2.0599
3.7896 3.1091 11.5326
7.6836 6.4402 2.0599
1.6458 4.4616 3.0056
6.1400 4.4616 3.2868
7.3425 8.9957 3.0056
3.2667 7.8437 0.8593
0.7046 7.6431 7.3447
3.2667 5.7584 11.7255
1.6458 0.0724 9.5792
5.1650 8.2849 4.5068
5.7216 3.3097 0.8593
3.7896 1.4250 1.0523
7.3785 5.1123 12.2393
8.3175 0.7832 10.7993
7.3425 4.6065 9.5792
2.8843 5.1123 6.6380
2.8484 4.6065 9.2980
6.1040 0.5782 6.6380
5.7989 2.6279 8.3523
8.0098 8.0461 1.8008
8.7308 6.8011 6.2924
0.9786 1.0221 10.7840
5.4727 3.5120 4.4916
0.9786 3.5120 1.8008
8.0098 5.5561 10.7840
4.7517 2.2670 0.0000
5.4727 1.0221 8.0933
4.2366 6.8011 0.0000
3.5156 8.0461 4.4916
0.2575 2.2670 6.2924
3.5156 5.5561 8.0933
2.2400 4.8106 4.7895
6.7342 8.7916 11.0819
6.7342 4.8106 1.5029
2.2400 8.7916 7.7953
2.2542 0.2765 1.5029
6.7483 4.2575 7.7953
6.7483 0.2765 4.7895
2.2542 4.2575 11.0819
```

V: 15.085 Å³/atom

***

No. 10
Below is an optimized crystal structure of TiV2CrO10, with properties calculated at the GGA-PBEsol level.

POSCAR file:
```
TiV2CrO10
1.0
4.1862 0.0000 0.0000
0.0000 6.5578 0.0000
0.0000 0.0000 6.5578
O V Ti Cr
10 2 1 1
Cartesian
3.0386 5.2131 0.0000
3.0386 1.3447 0.0000
1.0949 4.8083 3.2789
3.0913 3.2789 1.7495
1.1476 0.0000 1.3447
1.0949 1.7495 3.2789
3.0913 3.2789 4.8083
3.1157 0.0000 3.2789
1.0705 3.2789 0.0000
1.1476 0.0000 5.2131
2.6697 3.2789 0.0000
1.5165 0.0000 3.2789
2.0931 3.2789 3.2789
2.0931 0.0000 0.0000
```

V: 12.859 Å³/atom

***

No. 11
Below is an optimized crystal structure of Tl2CrO4, with properties calculated at the GGA-PBEsol level.

POSCAR file:
```
Tl2CrO4
1.0
-2.3605 -2.3272 4.6955
4.2411 -0.4181 5.4426
-4.8176 10.9508 6.5233
Tl O Cr
8 16 4
Cartesian
-1.4964 -0.7261 5.9234
-4.8126 8.3175 8.7384
-1.6290 2.4487 7.4302
1.8756 -0.1119 7.9230
-1.3080 5.7569 9.2312
-2.1200 6.4640 5.6556
-1.4406 8.9317 10.7380
-0.8170 1.7416 11.0058
-0.7133 0.0443 8.5427
-1.9401 4.1034 11.6117
-0.4625 6.3621 11.8153
0.5908 -0.1202 3.7552
-2.2238 8.1613 8.1187
-0.9970 4.1022 5.0497
2.8659 0.3657 5.1397
-3.5279 8.3258 12.9062
-2.4746 1.8435 4.8461
-5.8029 7.8399 11.5217
0.8220 3.7563 9.3104
0.5239 1.2640 6.0816
-1.3616 2.9408 2.6321
-3.7590 4.4493 7.3510
-1.5755 5.2648 14.0293
-3.4610 6.9416 10.5798
-2.0626 3.2703 4.1017
-0.8745 4.9353 12.5597
1.3862 0.9686 4.6947
-4.3232 7.2370 11.9667
```

V: 17.184 Å³/atom
ΔE to the lowest computed polymorph: 0.000 eV per atom

***

No. 12
Below is an optimized crystal structure of TlCrO4, with properties calculated at the GGA-PBEsol level.

POSCAR file:
```
TlCrO4
1.0
-2.0237 -4.2300 -3.2386
5.3630 2.3141 -6.3735
10.2879 -9.0375 5.3755
O Cr Tl
32 8 8
Cartesian
12.8866 -9.3444 -0.7447
5.9324 -6.4334 -2.8252
7.6949 -4.5201 -1.4115
10.1769 -5.0541 -2.2648
3.5315 -1.7353 -2.4471
7.4347 -9.6055 -2.0455
13.8514 -7.3279 0.7992
-0.2241 -3.6256 -5.0359
4.8515 -0.6136 -4.7370
9.1390 -8.4464 2.8144
6.9769 -6.9870 2.2593
4.3716 -8.3809 -1.6966
5.3364 -6.3643 -0.1526
4.8830 1.0050 -6.8707
0.7407 -1.6090 -3.4919
8.2909 -4.5891 -4.0840
0.5690 -5.8296 -2.6871
8.7443 -11.9584 2.6341
13.0583 -5.1238 -1.5495
8.6054 -7.4688 -3.1430
12.0797 -7.1694 -3.1157
4.4883 -2.5070 -7.0510
1.5476 -3.7840 -1.1210
6.1926 -1.3480 -2.1912
3.4504 -5.8993 -1.9718
9.2556 -2.5725 -2.5401
8.4133 -7.5599 -0.4793
5.0219 -3.4846 -1.0937
5.2140 -3.3935 -3.7574
8.7758 -10.3398 0.5004
6.6504 -3.9664 -6.4960
10.0958 -9.2181 -1.7895
9.6090 -11.3917 1.3536
8.6259 -8.4472 -1.8779
4.7721 -6.7404 -1.6991
5.9750 -2.8527 -7.5285
7.6523 -8.1007 3.2918
5.0014 -2.5062 -2.3587
4.0183 0.4383 -5.5903
8.8552 -4.2130 -2.5376
3.5902 -4.3162 0.8871
6.2019 -5.1673 -4.6472
10.0371 -6.6372 -5.1238
2.7300 -3.0518 -5.2409
1.5450 -1.5852 -1.4020
7.4254 -5.7862 0.4105
10.8973 -7.9016 1.0042
12.0823 -9.3683 -2.8347
```

V: 15.099 Å³/atom

***

no.,formation energy from raw total energies (eV per atom),E_tot (eV/atom)
1,-2.559,-8.482
2,-2.384,-9.683
3,-2.466,-9.764
4,-2.436,-9.734
5,-2.661,-9.617
6,-2.167,-8.359
7,-0.882,-8.883
8,-2.407,-9.000
9,-2.164,-8.656
10,-2.169,-8.621
11,-1.415,-6.629
12,-1.403,-7.048